1.
Material: SbTePO2
Method: DFT, PBE-GGA
State: relaxed

a b c (Å): 4.067 4.067 5.466
angles (deg): 90.00 90.00 90.00
Positions (direct):
O (0.000, 0.500, 0.000)
Sb (0.500, 0.500, 0.500)
Te (0.000, 0.000, 0.000)
O (0.500, 0.000, 0.000)
P (0.000, 0.000, 0.500)

Results
The energy relative to the elements, uncorrected comes out at -144 meV/atom. The space group is P4/mmm, No. 123. The final energy comes out at -4.662 eV/atom. The value obtained for the energy relative to the lowest polymorph listed for this composition is 163.4 meV/atom.

---

2.
Material: Mn5Mo
Method: DFT, PBE-GGA
State: relaxed

a b c (Å): 6.930 6.930 4.141
angles (deg): 90.00 90.00 158.85
Positions (direct):
Mn (0.319, 0.681, 0.000)
Mo (0.892, 0.108, 0.500)
Mn (0.008, 0.992, 0.000)
Mn (0.666, 0.334, 0.000)
Mn (0.215, 0.785, 0.500)
Mn (0.566, 0.434, 0.500)

Results
The calculation puts the energy of formation from the pure elements at 1.0 eV per formula unit. The space group is Amm2, No. 38. The final energy comes out at -9.274 eV/atom. The value obtained for the energy relative to the lowest polymorph listed for this composition is 149.1 meV/atom.

---

3.
Material: ZrFeN2
Method: DFT, PBE-GGA
State: relaxed

a b c (Å): 3.836 3.836 3.836
angles (deg): 60.00 60.00 60.00
Positions (direct):
Zr (0.500, 0.500, 0.500)
N (0.250, 0.250, 0.250)
N (0.750, 0.750, 0.750)
Fe (0.000, 0.000, 0.000)

Results
The energy relative to the elements, uncorrected comes out at -229 meV/atom. The space group is Fm-3m, No. 225. The final energy comes out at -8.644 eV/atom.

---

4.
Material: KHfGa
Method: DFT, PBE-GGA
State: relaxed

a b c (Å): 13.689 6.233 4.561
angles (deg): 90.00 90.00 90.00
Positions (direct):
Hf (0.502, 0.750, 0.000)
Hf (0.498, 0.250, 0.000)
Ga (0.000, 0.500, 0.000)
Ga (0.000, 0.000, 0.000)
K (0.732, 0.750, 0.494)
Ga (0.500, 0.000, 0.500)
K (0.268, 0.250, 0.506)
Hf (0.002, 0.750, 0.500)
Ga (0.500, 0.500, 0.500)
K (0.768, 0.250, 0.994)
K (0.232, 0.750, 0.006)
Hf (0.998, 0.250, 0.500)

Results
The calculation puts the energy of formation from the pure elements at 0.9 eV per formula unit. The space group is Pnma, No. 62. The final energy comes out at -4.387 eV/atom. The value obtained for the energy relative to the lowest polymorph listed for this composition is 384.1 meV/atom.

---

5.
Material: Ca3AlSb2Pd9
Method: DFT, PBE-GGA
State: relaxed

a b c (Å): 6.828 6.828 8.755
angles (deg): 90.00 90.00 120.00
Positions (direct):
Al (0.000, 0.000, 0.500)
Ca (0.333, 0.667, 0.720)
Ca (0.667, 0.333, 0.280)
Pd (0.500, 0.500, 0.000)
Pd (0.131, 0.263, 0.281)
Ca (0.000, 0.000, 0.000)
Pd (0.737, 0.869, 0.281)
Pd (0.131, 0.869, 0.281)
Sb (0.667, 0.333, 0.801)
Pd (0.000, 0.500, 0.000)
Pd (0.869, 0.131, 0.719)
Pd (0.500, 0.000, 0.000)
Sb (0.333, 0.667, 0.199)
Pd (0.263, 0.131, 0.719)
Pd (0.869, 0.737, 0.719)

Results
The energy relative to the elements, uncorrected comes out at -467 meV/atom. The space group is P-3m1, No. 164. The final energy comes out at -4.782 eV/atom.

---

6.
Material: BeReOs2
Method: DFT, PBE-GGA
State: relaxed

a b c (Å): 2.744 3.765 5.228
angles (deg): 90.00 90.00 90.00
Positions (direct):
Re (0.500, 0.500, 0.250)
Os (0.000, 0.000, 0.514)
Os (0.000, 0.000, 0.986)
Be (0.500, 0.500, 0.750)

Results
The calculation puts the energy of formation from the pure elements at 0.5 eV per formula unit. The space group is Pmmm, No. 47. The final energy comes out at -9.541 eV/atom.

---

7.
Material: Be6FeNi
Method: DFT, PBE-GGA
State: relaxed

a b c (Å): 3.207 4.603 4.603
angles (deg): 89.86 90.00 90.00
Positions (direct):
Be (0.000, 0.252, 0.748)
Be (0.000, 0.748, 0.252)
Fe (0.500, 0.500, 0.500)
Be (0.000, 0.252, 0.252)
Ni (0.500, 0.000, 0.000)
Be (0.000, 0.748, 0.748)
Be (0.500, 0.500, 0.000)
Be (0.500, 0.000, 0.500)

Results
The calculation puts the energy of formation from the pure elements at -1.8 eV per formula unit. The space group is Cmmm, No. 65. The final energy comes out at -4.797 eV/atom. The value obtained for the energy relative to the lowest polymorph listed for this composition is 0.0 meV/atom.

---

8.
Material: Y2HRhAu
Method: DFT, PBE-GGA
State: relaxed

a b c (Å): 5.061 5.061 3.550
angles (deg): 90.00 90.00 90.00
Positions (direct):
Y (0.500, 0.000, 0.000)
Rh (0.000, 0.000, 0.500)
Y (0.000, 0.500, 0.000)
Au (0.500, 0.500, 0.500)
H (0.000, 0.000, 0.000)

Results
The space group is P4/mmm, No. 123. The final energy comes out at -6.142 eV/atom. The value obtained for the energy relative to the lowest polymorph listed for this composition is 0.0 meV/atom.

---

9.
Material: BeSb2As
Method: DFT, PBE-GGA
State: relaxed

a b c (Å): 5.966 5.966 7.344
angles (deg): 66.03 66.03 90.00
Positions (direct):
Sb (0.177, 0.625, 0.250)
Be (0.500, 0.500, 0.000)
Sb (0.375, 0.427, 0.750)
Sb (0.875, 0.823, 0.750)
As (0.750, 0.250, 0.500)
As (0.000, 0.000, 0.000)
Sb (0.573, 0.125, 0.250)
Be (0.250, 0.750, 0.500)

Results
The energy relative to the elements, uncorrected comes out at 157 meV/atom. The space group is I-42d, No. 122. The final energy comes out at -3.998 eV/atom. The value obtained for the energy relative to the lowest polymorph listed for this composition is 0.0 meV/atom.

---

10.
Material: ScReP2
Method: DFT, PBE-GGA
State: relaxed

a b c (Å): 6.412 6.412 6.412
angles (deg): 151.79 149.32 42.16
Positions (direct):
P (0.697, 0.197, 0.500)
Re (0.545, 0.545, 0.000)
Sc (0.296, 0.796, 0.500)
P (0.962, 0.962, 0.000)

Results
The calculation puts the energy of formation from the pure elements at -2.9 eV per formula unit. The space group is Imm2, No. 44. The final energy comes out at -8.131 eV/atom. The value obtained for the energy relative to the lowest polymorph listed for this composition is 0.0 meV/atom.

---

11.
Material: YAlCu2S
Method: DFT, PBE-GGA
State: relaxed

a b c (Å): 4.403 5.167 4.403
angles (deg): 90.00 90.00 90.00
Positions (direct):
Al (0.500, 0.500, 0.500)
Y (0.000, 0.500, 0.000)
Cu (0.000, 0.000, 0.500)
S (0.000, 0.000, 0.000)
Cu (0.500, 0.000, 0.000)

Results
The energy relative to the elements, uncorrected comes out at -123 meV/atom. The space group is P4/mmm, No. 123. The final energy comes out at -4.629 eV/atom.

---

12.
Material: K4Si2Au5
Method: DFT, PBE-GGA
State: relaxed

a b c (Å): 5.193 6.860 9.057
angles (deg): 87.97 90.00 90.00
Positions (direct):
K (0.500, 0.725, 0.424)
Si (0.000, 0.050, 0.377)
Au (0.000, 0.216, 0.791)
Si (0.000, 0.950, 0.623)
K (0.500, 0.784, 0.897)
K (0.500, 0.275, 0.576)
Au (0.000, 0.384, 0.296)
Au (0.000, 0.500, 0.000)
Au (0.000, 0.784, 0.209)
K (0.500, 0.216, 0.103)
Au (0.000, 0.616, 0.704)

Results
The energy relative to the elements, uncorrected comes out at -234 meV/atom. The space group is P2/m, No. 10. The final energy comes out at -3.109 eV/atom.

---

13.
Material: Cs6Rb2Au3F
Method: DFT, PBE-GGA
State: relaxed

a b c (Å): 8.424 9.833 9.946
angles (deg): 119.63 89.41 90.00
Positions (direct):
Au (0.500, 0.000, 0.500)
Cs (0.726, 0.834, 0.145)
Cs (0.295, 0.147, 0.294)
Au (0.500, 0.500, 0.500)
Cs (0.726, 0.311, 0.145)
Cs (0.274, 0.689, 0.855)
Cs (0.705, 0.853, 0.706)
Cs (0.274, 0.166, 0.855)
Rb (0.770, 0.325, 0.650)
Rb (0.230, 0.675, 0.350)
F (0.500, 0.000, 0.000)
Au (0.000, 0.500, 0.000)

Results
The energy relative to the elements, uncorrected comes out at -572 meV/atom. The space group is C2/m, No. 12. The final energy comes out at -2.135 eV/atom.

---

14.
Material: VPd5Pt4
Method: DFT, PBE-GGA
State: relaxed

a b c (Å): 3.903 6.986 7.221
angles (deg): 118.52 105.68 90.00
Positions (direct):
Pd (0.838, 0.295, 0.676)
Pd (0.823, 0.886, 0.645)
Pd (0.177, 0.114, 0.355)
Pt (0.981, 0.751, 0.962)
Pt (0.019, 0.249, 0.038)
Pt (0.674, 0.408, 0.349)
Pt (0.326, 0.592, 0.651)
Pd (0.500, 0.500, 0.000)
Pd (0.162, 0.705, 0.324)
V (0.500, 0.000, 0.000)

Results
The calculation puts the energy of formation from the pure elements at -0.1 eV per formula unit. The space group is C2/m, No. 12. The final energy comes out at -5.931 eV/atom. The value obtained for the energy relative to the lowest polymorph listed for this composition is 195.0 meV/atom.

---

15.
Material: Ce2MgTc
Method: DFT, PBE-GGA
State: relaxed

a b c (Å): 3.946 3.946 8.631
angles (deg): 76.79 76.79 60.00
Positions (direct):
Ce (0.273, 0.273, 0.181)
Ce (0.061, 0.061, 0.816)
Mg (0.501, 0.501, 0.497)
Tc (0.665, 0.665, 0.005)

Results
The calculation puts the energy of formation from the pure elements at 0.6 eV per formula unit. The space group is R3m, No. 160. The final energy comes out at -5.812 eV/atom.

---

16.
Material: FeRhC3
Method: DFT, PBE-GGA
State: relaxed

a b c (Å): 3.697 3.697 3.697
angles (deg): 90.00 90.00 90.00
Positions (direct):
C (0.500, 0.000, 0.000)
C (0.000, 0.500, 0.000)
C (0.000, 0.000, 0.500)
Fe (0.000, 0.000, 0.000)
Rh (0.500, 0.500, 0.500)

Results
The calculation puts the energy of formation from the pure elements at 9.5 eV per formula unit. The space group is Pm-3m, No. 221. The final energy comes out at -6.792 eV/atom. The value obtained for the energy relative to the lowest polymorph listed for this composition is 0.0 meV/atom.

---

17.
Material: OsBrO2
Method: DFT, PBE-GGA
State: relaxed

a b c (Å): 6.005 6.005 6.017
angles (deg): 60.07 60.07 90.00
Positions (direct):
O (0.875, 0.625, 0.250)
Br (0.500, 0.500, 0.000)
Br (0.250, 0.750, 0.500)
O (0.875, 0.125, 0.250)
O (0.375, 0.125, 0.750)
Os (0.750, 0.250, 0.500)
Os (0.000, 0.000, 0.000)
O (0.875, 0.125, 0.750)

Results
The energy relative to the elements, uncorrected comes out at -215 meV/atom. The space group is I4_1/amd, No. 141. The final energy comes out at -5.919 eV/atom. The value obtained for the energy relative to the lowest polymorph listed for this composition is 43.8 meV/atom.

---

18.
Material: Ca2InAg7
Method: DFT, PBE-GGA
State: relaxed

a b c (Å): 7.305 7.305 7.305
angles (deg): 60.00 60.00 60.00
Positions (direct):
Ca (0.250, 0.250, 0.250)
Ag (0.252, 0.748, 0.748)
Ca (0.750, 0.750, 0.750)
Ag (0.748, 0.748, 0.252)
Ag (0.748, 0.252, 0.252)
Ag (0.252, 0.748, 0.252)
Ag (0.252, 0.252, 0.748)
In (0.000, 0.000, 0.000)
Ag (0.748, 0.252, 0.748)
Ag (0.500, 0.500, 0.500)

Results
The calculation puts the energy of formation from the pure elements at 2.0 eV per formula unit. The space group is Fm-3m, No. 225. The final energy comes out at -2.473 eV/atom.

---

19.
Material: HfTaBe2
Method: DFT, PBE-GGA
State: relaxed

a b c (Å): 4.325 4.325 4.325
angles (deg): 60.00 60.00 60.00
Positions (direct):
Ta (0.500, 0.500, 0.500)
Be (0.250, 0.250, 0.250)
Be (0.750, 0.750, 0.750)
Hf (0.000, 0.000, 0.000)

Results
The calculation puts the energy of formation from the pure elements at 0.1 eV per formula unit. The space group is Fm-3m, No. 225. The final energy comes out at -7.283 eV/atom. The value obtained for the energy relative to the lowest polymorph listed for this composition is 25.7 meV/atom.

---

20.
Material: ZrGeN3
Method: DFT, PBE-GGA
State: relaxed

a b c (Å): 3.755 3.755 3.755
angles (deg): 90.00 90.00 90.00
Positions (direct):
Zr (0.500, 0.500, 0.500)
N (0.000, 0.500, 0.000)
N (0.000, 0.000, 0.500)
N (0.500, 0.000, 0.000)
Ge (0.000, 0.000, 0.000)

Results
The energy relative to the elements, uncorrected comes out at 269 meV/atom. The space group is Pm-3m, No. 221. The final energy comes out at -7.359 eV/atom.

---

21.
Material: Ca3CdH6
Method: DFT, PBE-GGA
State: relaxed

a b c (Å): 5.710 7.014 7.014
angles (deg): 101.16 90.00 90.00
Positions (direct):
Cd (0.429, 0.803, 0.197)
Ca (0.943, 0.681, 0.912)
H (0.157, 0.364, 0.325)
H (0.559, 0.216, 0.784)
H (0.810, 0.449, 0.071)
H (0.296, 0.983, 0.017)
H (0.657, 0.636, 0.675)
Ca (0.943, 0.088, 0.319)
H (0.310, 0.551, 0.929)
H (0.657, 0.325, 0.364)
Ca (0.379, 0.396, 0.604)
H (0.310, 0.071, 0.449)
Ca (0.443, 0.912, 0.681)
H (0.810, 0.929, 0.551)
H (0.157, 0.675, 0.636)
Cd (0.929, 0.197, 0.803)
Ca (0.879, 0.604, 0.396)
H (0.059, 0.784, 0.216)
H (0.796, 0.017, 0.983)
Ca (0.443, 0.319, 0.088)

Results
The space group is Cmc2_1, No. 36. The final energy comes out at -3.114 eV/atom.

---

22.
Material: Pr3Nd5Dy3
Method: DFT, PBE-GGA
State: relaxed

a b c (Å): 9.745 9.745 5.605
angles (deg): 90.00 90.00 120.00
Positions (direct):
Dy (0.752, 0.000, 0.500)
Nd (0.333, 0.667, 0.500)
Nd (0.379, 0.000, 0.500)
Nd (0.667, 0.333, 0.500)
Pr (0.597, 0.000, 0.000)
Dy (0.000, 0.752, 0.500)
Pr (0.000, 0.597, 0.000)
Pr (0.403, 0.403, 0.000)
Nd (0.000, 0.379, 0.500)
Dy (0.248, 0.248, 0.500)
Nd (0.621, 0.621, 0.500)

Results
The calculation puts the energy of formation from the pure elements at 8.1 eV per formula unit. The space group is P-62m, No. 189. The final energy comes out at -3.990 eV/atom.

---

23.
Material: Sr2Ag2Bi
Method: DFT, PBE-GGA
State: relaxed

a b c (Å): 6.157 6.157 6.190
angles (deg): 60.18 60.18 90.00
Positions (direct):
Sr (0.750, 0.250, 0.500)
Bi (0.000, 0.000, 0.000)
Sr (0.250, 0.750, 0.500)
Ag (0.650, 0.650, 0.700)
Ag (0.350, 0.350, 0.300)

Results
The calculation puts the energy of formation from the pure elements at -1.6 eV per formula unit. The space group is I4/mmm, No. 139. The final energy comes out at -2.902 eV/atom. The value obtained for the energy relative to the lowest polymorph listed for this composition is 135.2 meV/atom.

---

24.
Material: HgTe2Au
Method: DFT, PBE-GGA
State: relaxed

a b c (Å): 4.151 4.151 7.778
angles (deg): 74.52 74.52 60.00
Positions (direct):
Te (0.263, 0.263, 0.211)
Te (0.071, 0.071, 0.788)
Hg (0.498, 0.498, 0.506)
Au (0.668, 0.668, 0.995)

Results
The energy relative to the elements, uncorrected comes out at 17 meV/atom. The space group is R3m, No. 160. The final energy comes out at -2.448 eV/atom.